No. 1
Here is MgHgSbIr after structural relaxation from the Open Quantum Materials Database. Energies are from PBE.

Raw total energy, eV/atom: -3.59
Calculated volume, Å³ per cell: 77

Cell: 4.7791 4.7791 4.7791 Å, 60.00 60.00 60.00°
Closest atoms and distances in Å follow each position.
Element x y z (fractional)
Sb  0.5000  0.5000  0.5000  4 Mg 2.93, 4 Ir 2.93
Ir  0.2500  0.2500  0.2500  4 Sb 2.93, 4 Hg 2.93
Mg  0.7500  0.7500  0.7500  4 Sb 2.93, 4 Hg 2.93
Hg  0.0000  0.0000  0.0000  4 Mg 2.93, 4 Ir 2.93


No. 2
Here is Sm3Mg3HgIr2 after structural relaxation from the Open Quantum Materials Database. Energies are from PBE.

Raw total energy, eV/atom: -4.62
Calculated volume, Å³ per cell: 204

Cell: 7.5389 7.5389 4.1379 Å, 90.00 90.00 120.00°
Closest atoms and distances in Å follow each position.
Element x y z (fractional)
Sm  0.0000  0.5782  0.0000  4 Ir 3.06, 1 Hg 3.18, 2 Mg 3.18
Sm  0.4218  0.4218  0.0000  4 Ir 3.06, 1 Hg 3.18, 2 Mg 3.18
Sm  0.5782  0.0000  0.0000  4 Ir 3.06, 1 Hg 3.18, 2 Mg 3.18
Hg  0.0000  0.0000  0.0000  6 Mg 2.84
Ir  0.3333  0.6667  0.5000  3 Mg 2.84, 6 Sm 3.06
Ir  0.6667  0.3333  0.5000  3 Mg 2.84, 6 Sm 3.06
Mg  0.0000  0.2573  0.5000  2 Hg 2.84, 2 Ir 2.84
Mg  0.7427  0.7427  0.5000  2 Hg 2.84, 2 Ir 2.84
Mg  0.2573  0.0000  0.5000  2 Hg 2.84, 2 Ir 2.84


No. 3
Here is Sm3Mg3Hg2Ir after structural relaxation from the Open Quantum Materials Database. Energies are from PBE.

Raw total energy, eV/atom: -3.59
Calculated volume, Å³ per cell: 220

Cell: 7.5925 7.5925 4.4140 Å, 90.00 90.00 120.00°
Closest atoms and distances in Å follow each position.
Element x y z (fractional)
Sm  0.3884  0.3884  0.0000  1 Ir 2.95, 4 Hg 3.22
Sm  0.0000  0.6116  0.0000  1 Ir 2.95, 4 Hg 3.22
Sm  0.6116  0.0000  0.0000  1 Ir 2.95, 4 Hg 3.22
Mg  0.7699  0.7699  0.5000  2 Ir 2.81, 2 Hg 3.00, 2 Mg 3.03
Mg  0.2301  0.0000  0.5000  2 Ir 2.81, 2 Hg 3.00, 2 Mg 3.03
Mg  0.0000  0.2301  0.5000  2 Ir 2.81, 2 Hg 3.00, 2 Mg 3.03
Hg  0.3333  0.6667  0.5000  3 Mg 3.00, 6 Sm 3.22
Hg  0.6667  0.3333  0.5000  3 Mg 3.00, 6 Sm 3.22
Ir  0.0000  0.0000  0.0000  6 Mg 2.81, 3 Sm 2.95


No. 4
Here is MgTaHgIr after structural relaxation from the Open Quantum Materials Database. Energies are from PBE.

Raw total energy, eV/atom: -5.66
Calculated volume, Å³ per cell: 68

Cell: 4.5902 4.5902 4.5902 Å, 60.00 60.00 60.00°
Closest atoms and distances in Å follow each position.
Element x y z (fractional)
Ta  0.5000  0.5000  0.5000  4 Mg 2.81, 4 Ir 2.81
Ir  0.2500  0.2500  0.2500  4 Hg 2.81, 4 Ta 2.81
Hg  0.0000  0.0000  0.0000  4 Mg 2.81, 4 Ir 2.81
Mg  0.7500  0.7500  0.7500  4 Hg 2.81, 4 Ta 2.81


No. 5
Here is MgTaHgIr after structural relaxation from the Open Quantum Materials Database. Energies are from PBE.

Raw total energy, eV/atom: -5.27
Calculated volume, Å³ per cell: 69

Cell: 4.5997 4.5997 4.5997 Å, 60.00 60.00 60.00°
Closest atoms and distances in Å follow each position.
Element x y z (fractional)
Hg  0.2500  0.2500  0.2500  4 Ta 2.82, 4 Ir 2.82
Ir  0.0000  0.0000  0.0000  4 Mg 2.82, 4 Hg 2.82
Ta  0.5000  0.5000  0.5000  4 Hg 2.82, 4 Mg 2.82
Mg  0.7500  0.7500  0.7500  4 Ir 2.82, 4 Ta 2.82


No. 6
Here is MgTaHgIr after structural relaxation from the Open Quantum Materials Database. Energies are from PBE.

Raw total energy, eV/atom: -5.70
Calculated volume, Å³ per cell: 70

Cell: 4.6262 4.6262 4.6262 Å, 60.00 60.00 60.00°
Closest atoms and distances in Å follow each position.
Element x y z (fractional)
Mg  0.7500  0.7500  0.7500  4 Hg 2.83, 4 Ir 2.83
Ta  0.2500  0.2500  0.2500  4 Hg 2.83, 4 Ir 2.83
Ir  0.0000  0.0000  0.0000  4 Ta 2.83, 4 Mg 2.83
Hg  0.5000  0.5000  0.5000  4 Ta 2.83, 4 Mg 2.83


No. 7
Here is Y3Mg3HgIr2 after structural relaxation from the Open Quantum Materials Database. Energies are from PBE.

Raw total energy, eV/atom: -5.23
Calculated volume, Å³ per cell: 197

Cell: 7.4570 7.4570 4.0829 Å, 90.00 90.00 120.00°
Closest atoms and distances in Å follow each position.
Element x y z (fractional)
Mg  0.2598  0.2598  0.5000  2 Ir 2.80, 2 Hg 2.81
Mg  0.0000  0.7402  0.5000  2 Ir 2.80, 2 Hg 2.81
Mg  0.7402  0.0000  0.5000  2 Ir 2.80, 2 Hg 2.81
Ir  0.3333  0.6667  0.5000  3 Mg 2.80, 6 Y 3.02
Ir  0.6667  0.3333  0.5000  3 Mg 2.80, 6 Y 3.02-3.03
Y  0.4208  0.0000  0.0000  4 Ir 3.02, 2 Mg 3.14, 1 Hg 3.14
Y  0.0000  0.4208  0.0000  4 Ir 3.02, 2 Mg 3.14, 1 Hg 3.14
Y  0.5792  0.5792  0.0000  4 Ir 3.02-3.03, 2 Mg 3.14, 1 Hg 3.14
Hg  0.0000  0.0000  0.0000  6 Mg 2.81, 3 Y 3.14


No. 8
Here is HgIrNO after structural relaxation from the Open Quantum Materials Database. Energies are from PBE.

Raw total energy, eV/atom: -4.90
Calculated volume, Å³ per cell: 111

Cell: 3.9121 3.9122 7.2453 Å, 90.00 90.00 90.00°
Closest atoms and distances in Å follow each position.
Element x y z (fractional)
O  0.7500  0.2500  0.0000  4 Hg 2.26
O  0.2500  0.7500  0.0000  4 Hg 2.26
Hg  0.7500  0.7500  0.8451  4 O 2.26
Hg  0.2500  0.2500  0.1549  4 O 2.26
Ir  0.7500  0.2500  0.5000  4 N 2.12
Ir  0.2500  0.7500  0.5000  4 N 2.12
N  0.7500  0.7500  0.3860  4 Ir 2.12
N  0.2500  0.2500  0.6140  4 Ir 2.12


No. 9
Here is HgIrNO after structural relaxation from the Open Quantum Materials Database. Energies are from PBE.

Raw total energy, eV/atom: -4.90
Calculated volume, Å³ per cell: 110

Cell: 3.9354 3.9354 7.1324 Å, 90.00 90.00 90.10°
Closest atoms and distances in Å follow each position.
Element x y z (fractional)
N  0.7501  0.7501  0.3836  4 Ir 2.13
N  0.2501  0.2501  0.6147  4 Ir 2.13
Hg  0.2500  0.2500  0.1566  4 O 2.26
Hg  0.7502  0.7502  0.8455  4 O 2.26
O  0.7502  0.2494  0.0008  4 Hg 2.26
O  0.2494  0.7502  0.0008  4 Hg 2.26
Ir  0.7500  0.2499  0.4990  4 N 2.13
Ir  0.2499  0.7500  0.4990  4 N 2.13


No. 10
Here is HgIrNO after structural relaxation from the Open Quantum Materials Database. Energies are from PBE.

Raw total energy, eV/atom: -5.26
Calculated volume, Å³ per cell: 131

Cell: 3.7328 5.1785 6.7608 Å, 90.00 90.00 90.00°
Closest atoms and distances in Å follow each position.
Element x y z (fractional)
N  0.0000  0.8390  0.3313  2 Ir 1.88-1.90
N  0.0000  0.3390  0.6687  2 Ir 1.88-1.90
O  0.5000  0.4285  0.3438  2 Ir 1.95
O  0.5000  0.9285  0.6562  2 Ir 1.95
Ir  0.0000  0.4880  0.4147  2 N 1.88-1.90, 2 O 1.95
Ir  0.0000  0.9880  0.5853  2 N 1.88-1.90, 2 O 1.95
Hg  0.5000  0.9984  0.0878  2 N 2.62, 1 O 2.82, 2 Hg 2.85
Hg  0.5000  0.4984  0.9122  2 N 2.62, 1 O 2.82, 2 Hg 2.85


No. 11
Here is HgIrNO after structural relaxation from the Open Quantum Materials Database. Energies are from PBE.

Raw total energy, eV/atom: -4.89
Calculated volume, Å³ per cell: 132

Cell: 4.1901 4.1901 7.5072 Å, 90.00 90.00 90.01°
Closest atoms and distances in Å follow each position.
Element x y z (fractional)
Hg  0.7500  0.7500  0.5000  4 N 2.52
Hg  0.2500  0.2500  0.5000  4 N 2.52
Ir  0.2500  0.7500  0.9287  1 N 1.81
Ir  0.7500  0.2500  0.0713  1 N 1.81
N  0.7500  0.2500  0.3125  1 Ir 1.81
N  0.2500  0.7500  0.6875  1 Ir 1.81
O  0.7500  0.7500  0.0000  4 Ir 2.16
O  0.2500  0.2500  0.0000  4 Ir 2.16


No. 12
Here is HgIrNO after structural relaxation from the Open Quantum Materials Database. Energies are from PBE.

Raw total energy, eV/atom: -5.35
Calculated volume, Å³ per cell: 116

Cell: 3.0722 6.8003 5.5481 Å, 90.00 90.00 90.00°
Closest atoms and distances in Å follow each position.
Element x y z (fractional)
O  0.5000  0.7526  0.8349  2 Ir 1.93-1.95
O  0.5000  0.2526  0.1651  2 Ir 1.93-1.95
N  0.0000  0.9235  0.2205  2 Ir 1.92
N  0.0000  0.4235  0.7795  2 Ir 1.92
Hg  0.0000  0.5898  0.4004  2 N 2.39-2.48
Hg  0.0000  0.0898  0.5996  2 N 2.39-2.48
Ir  0.5000  0.9881  0.0275  2 N 1.92, 2 O 1.93-1.95
Ir  0.5000  0.4881  0.9725  2 N 1.92, 2 O 1.93-1.95


No. 13
Here is Sr2HgIrN after structural relaxation from the Open Quantum Materials Database. Energies are from PBE.

Raw total energy, eV/atom: -4.76
Calculated volume, Å³ per cell: 116

Cell: 5.5178 5.5178 3.8077 Å, 90.00 90.00 90.00°
Closest atoms and distances in Å follow each position.
Element x y z (fractional)
Sr  0.0000  0.5000  0.0000  2 N 2.76
Sr  0.5000  0.0000  0.0000  2 N 2.76
Hg  0.0000  0.0000  0.5000  8 Sr 3.35
N  0.5000  0.5000  0.0000  2 Ir 1.90
Ir  0.5000  0.5000  0.5000  2 N 1.90


No. 14
Here is NaHgIr after structural relaxation from the Open Quantum Materials Database. Energies are from PBE.

Raw total energy, eV/atom: -2.42
Calculated volume, Å³ per cell: 62

Cell: 4.4534 4.4534 4.4534 Å, 60.00 60.00 60.00°
Closest atoms and distances in Å follow each position.
Element x y z (fractional)
Ir  0.7500  0.7500  0.7500  4 Na 2.73
Na  0.0000  0.0000  0.0000  4 Hg 2.73, 4 Ir 2.73
Hg  0.2500  0.2500  0.2500  4 Na 2.73


No. 15
Here is NaHgIr after structural relaxation from the Open Quantum Materials Database. Energies are from PBE.

Raw total energy, eV/atom: -2.80
Calculated volume, Å³ per cell: 68

Cell: 4.5761 4.5761 4.5761 Å, 60.00 60.00 60.00°
Closest atoms and distances in Å follow each position.
Element x y z (fractional)
Ir  0.0000  0.0000  0.0000  4 Hg 2.80, 4 Na 2.80
Na  0.7500  0.7500  0.7500  4 Ir 2.80
Hg  0.2500  0.2500  0.2500  4 Ir 2.80


No. 16
Here is NaHg3IrS4 after structural relaxation from the Open Quantum Materials Database. Energies are from PBE.

Raw total energy, eV/atom: -2.92
Calculated volume, Å³ per cell: 243

Cell: 6.2385 6.2385 6.2385 Å, 90.00 90.00 90.00°
Closest atoms and distances in Å follow each position.
Element x y z (fractional)
S  0.7333  0.2667  0.7333  1 Ir 2.52, 3 Hg 2.65
S  0.2667  0.2667  0.2667  1 Ir 2.52, 3 Hg 2.65
S  0.2667  0.7333  0.7333  1 Ir 2.52, 3 Hg 2.65
S  0.7333  0.7333  0.2667  1 Ir 2.52, 3 Hg 2.65
Hg  0.0000  0.5000  0.5000  4 S 2.65
Hg  0.5000  0.5000  0.0000  4 S 2.65
Hg  0.5000  0.0000  0.5000  4 S 2.65
Ir  0.5000  0.5000  0.5000  4 S 2.52
Na  0.0000  0.0000  0.0000  4 S 2.88


No. 17
Here is NaHgTeIr after structural relaxation from the Open Quantum Materials Database. Energies are from PBE.

Raw total energy, eV/atom: -2.87
Calculated volume, Å³ per cell: 85

Cell: 4.9305 4.9305 4.9305 Å, 60.00 60.00 60.00°
Closest atoms and distances in Å follow each position.
Element x y z (fractional)
Te  0.5000  0.5000  0.5000  4 Na 3.02, 4 Hg 3.02
Ir  0.0000  0.0000  0.0000  4 Hg 3.02, 4 Na 3.02
Hg  0.2500  0.2500  0.2500  4 Ir 3.02, 4 Te 3.02
Na  0.7500  0.7500  0.7500  4 Te 3.02, 4 Ir 3.02


No. 18
Here is NaHgTeIr after structural relaxation from the Open Quantum Materials Database. Energies are from PBE.

Raw total energy, eV/atom: -3.01
Calculated volume, Å³ per cell: 83

Cell: 4.8939 4.8939 4.8939 Å, 60.00 60.00 60.00°
Closest atoms and distances in Å follow each position.
Element x y z (fractional)
Ir  0.0000  0.0000  0.0000  4 Na 3.00, 4 Te 3.00
Hg  0.5000  0.5000  0.5000  4 Na 3.00, 4 Te 3.00
Te  0.2500  0.2500  0.2500  4 Hg 3.00, 4 Ir 3.00
Na  0.7500  0.7500  0.7500  4 Hg 3.00, 4 Ir 3.00


No. 19
Here is NaHgTeIr after structural relaxation from the Open Quantum Materials Database. Energies are from PBE.

Raw total energy, eV/atom: -3.26
Calculated volume, Å³ per cell: 80

Cell: 4.8342 4.8342 4.8342 Å, 60.00 60.00 60.00°
Closest atoms and distances in Å follow each position.
Element x y z (fractional)
Ir  0.2500  0.2500  0.2500  4 Te 2.96, 4 Hg 2.96
Hg  0.0000  0.0000  0.0000  4 Na 2.96, 4 Ir 2.96
Na  0.7500  0.7500  0.7500  4 Hg 2.96, 4 Te 2.96
Te  0.5000  0.5000  0.5000  4 Ir 2.96, 4 Na 2.96


No. 20
Here is NaHg3Te4Ir after structural relaxation from the Open Quantum Materials Database. Energies are from PBE.

Raw total energy, eV/atom: -2.54
Calculated volume, Å³ per cell: 359

Cell: 7.1081 7.1081 7.1081 Å, 90.00 90.00 90.00°
Closest atoms and distances in Å follow each position.
Element x y z (fractional)
Te  0.2142  0.2142  0.7858  1 Ir 2.64
Te  0.2142  0.7858  0.2142  1 Ir 2.64
Te  0.7858  0.7858  0.7858  1 Ir 2.64
Te  0.7858  0.2142  0.2142  1 Ir 2.64
Ir  0.0000  0.0000  0.0000  4 Te 2.64
Hg  0.0000  0.0000  0.5000  4 Te 2.96
Hg  0.0000  0.5000  0.0000  4 Te 2.96
Hg  0.5000  0.0000  0.0000  4 Te 2.96
Na  0.5000  0.5000  0.5000  4 Te 3.52